# 1
VASP calculation (PBE) on an optimized crystal structure of CrIrS2N. Values from VASP.

Structure (Quantum ESPRESSO input):
```
&SYSTEM
  ibrav = 0, nat = 5, ntyp = 4
/
ATOMIC_SPECIES
Cr 52.00 Cr.upf
Ir 192.22 Ir.upf
S 32.06 S.upf
N 14.01 N.upf
CELL_PARAMETERS angstrom
4.611 0.000 0.000
0.000 4.611 0.000
0.000 0.000 3.423
ATOMIC_POSITIONS crystal
Cr 0.000 0.000 0.000
Ir 0.500 0.500 0.500
S 0.000 0.500 0.000
S 0.500 0.000 0.000
N 0.000 0.000 0.500
```

Output
Energy above the most stable polymorph in this dataset = 0.164 eV/atom
Space group = No. 123
Formation energy (no corrections) = 0.676 eV/atom
Magnetic moment = 0.85 μB per cell

# 2
VASP calculation (PBE) on an optimized crystal structure of CsBa2Bi2. Values from VASP.

Structure (Quantum ESPRESSO input):
```
&SYSTEM
  ibrav = 0, nat = 5, ntyp = 3
/
ATOMIC_SPECIES
Cs 132.91 Cs.upf
Ba 137.33 Ba.upf
Bi 208.98 Bi.upf
CELL_PARAMETERS angstrom
-3.308 3.308 6.666
3.308 -3.308 6.666
3.308 3.308 -6.666
ATOMIC_POSITIONS crystal
Cs 0.000 0.000 0.000
Ba 0.323 0.323 0.000
Ba 0.677 0.677 0.000
Bi 0.250 0.750 0.500
Bi 0.750 0.250 0.500
```

Output
Energy above the most stable polymorph in this dataset = 0.232 eV/atom
Space group = No. 139
Formation energy = -0.503 eV/atom
Magnetic moment = 0.00 μB per cell

# 3
VASP calculation (PBE) on an optimized crystal structure of CsMnP2S. Values from VASP.

Structure (Quantum ESPRESSO input):
```
&SYSTEM
  ibrav = 0, nat = 5, ntyp = 4
/
ATOMIC_SPECIES
Cs 132.91 Cs.upf
Mn 54.94 Mn.upf
P 30.97 P.upf
S 32.06 S.upf
CELL_PARAMETERS angstrom
5.638 0.000 0.000
0.000 5.638 0.000
0.000 0.000 5.294
ATOMIC_POSITIONS crystal
Cs 0.000 0.000 0.000
Mn 0.500 0.500 0.500
P 0.000 0.500 0.000
P 0.500 0.000 0.000
S 0.000 0.000 0.500
```

Output
Energy above the most stable polymorph in this dataset = 1.800 eV/atom
Space group = No. 123
Formation energy (no corrections) = 1.978 eV/atom
Magnetic moment = 3.35 μB per cell

# 4
VASP calculation (PBE) on an optimized crystal structure of ErBe2Co2. Values from VASP.

Structure (Quantum ESPRESSO input):
```
&SYSTEM
  ibrav = 0, nat = 10, ntyp = 3
/
ATOMIC_SPECIES
Er 167.26 Er.upf
Be 9.01 Be.upf
Co 58.93 Co.upf
CELL_PARAMETERS angstrom
-1.811 1.811 9.781
1.811 -1.811 9.781
1.811 1.811 -9.781
ATOMIC_POSITIONS crystal
Er 0.126 0.126 0.000
Er 0.874 0.874 0.000
Be 0.000 0.500 0.500
Be 0.314 0.314 0.000
Be 0.500 0.000 0.500
Be 0.686 0.686 0.000
Co 0.250 0.750 0.500
Co 0.435 0.435 0.000
Co 0.565 0.565 0.000
Co 0.750 0.250 0.500
```

Output
Energy above the most stable polymorph in this dataset = 0.035 eV/atom
Space group = No. 139
Formation energy = -0.210 eV/atom
Magnetic moment = 0.79 μB per cell

# 5
VASP calculation (PBE) on an optimized crystal structure of Mn2CdMo. Values from VASP.

Structure (Quantum ESPRESSO input):
```
&SYSTEM
  ibrav = 0, nat = 4, ntyp = 3
/
ATOMIC_SPECIES
Mn 54.94 Mn.upf
Cd 112.41 Cd.upf
Mo 95.94 Mo.upf
CELL_PARAMETERS angstrom
1.666 -2.215 0.000
1.666 2.215 0.000
0.000 0.000 8.548
ATOMIC_POSITIONS crystal
Mn 0.000 0.000 0.229
Mn 0.000 0.000 0.771
Cd 0.500 0.500 0.500
Mo 0.500 0.500 0.000
```

Output
Space group = No. 65
Formation energy = 0.299 eV/atom
Magnetic moment = 5.49 μB per cell

# 6
VASP calculation (PBE) on an optimized crystal structure of CsTmSe2. Values from VASP.

Structure (Quantum ESPRESSO input):
```
&SYSTEM
  ibrav = 0, nat = 4, ntyp = 3
/
ATOMIC_SPECIES
Cs 132.91 Cs.upf
Tm 168.93 Tm.upf
Se 78.96 Se.upf
CELL_PARAMETERS angstrom
2.103 1.214 8.428
-2.103 1.214 8.428
0.000 -2.428 8.428
ATOMIC_POSITIONS crystal
Cs 0.000 0.000 0.000
Tm 0.831 0.831 0.831
Se 0.226 0.226 0.226
Se 0.437 0.437 0.437
```

Output
Space group = No. 160
Formation energy (no corrections) = -1.698 eV/atom
Magnetic moment = 0.00 μB per cell